1.
Entry from the Alexandria database: a relaxed structure of K5Ba3 (PBE).

Cell lengths 12.7791, 12.7791, 8.1353 Å; angles 90.00, 90.00, 120.00 degrees
Atoms (fractional coordinates):
K (0.3333, 0.6667, 0.0000)
K (0.6667, 0.3333, 0.5000)
K (0.6667, 0.3333, 0.0000)
K (0.3333, 0.6667, 0.5000)
K (0.2277, 0.0000, 0.2500)
K (0.7723, 0.0000, 0.7500)
K (0.0000, 0.2277, 0.2500)
K (0.7723, 0.7723, 0.2500)
K (0.2277, 0.2277, 0.7500)
K (0.0000, 0.7723, 0.7500)
Ba (0.5924, 0.0000, 0.2500)
Ba (0.4076, 0.0000, 0.7500)
Ba (0.0000, 0.5924, 0.2500)
Ba (0.4076, 0.4076, 0.2500)
Ba (0.5924, 0.5924, 0.7500)
Ba (0.0000, 0.4076, 0.7500)

DFT total energy: -9.78 eV per formula unit
ΔE_f: 185 meV/atom

---

2.
Entry from the Alexandria database: a relaxed structure of K2Ba (PBE).

Cell lengths 8.1530, 8.1530, 8.1530 Å; angles 147.68, 133.16, 58.06 degrees
Atoms (fractional coordinates):
Ba (0.0000, 0.0000, 0.0000)
K (0.6695, 0.6695, 0.0000)
K (0.3305, 0.3305, 0.0000)

DFT total energy: -3.75 eV per formula unit
ΔE_f: 124 meV/atom

---

3.
Entry from the Alexandria database: a relaxed structure of K2Ba (PBE).

Cell lengths 11.9563, 11.9563, 4.7887 Å; angles 90.00, 90.00, 142.56 degrees
Atoms (fractional coordinates):
Ba (0.9162, 0.0838, 0.2500)
Ba (0.0838, 0.9162, 0.7500)
K (0.5765, 0.4235, 0.2500)
K (0.4235, 0.5765, 0.7500)
K (0.2601, 0.7399, 0.2500)
K (0.7399, 0.2601, 0.7500)

DFT total energy: -3.85 eV per formula unit
ΔE_f: 89 meV/atom

---

4.
Entry from the Alexandria database: a relaxed structure of KBa2 (PBE).

Cell lengths 6.9582, 6.9582, 6.9582 Å; angles 60.00, 60.00, 60.00 degrees
Atoms (fractional coordinates):
Ba (0.7500, 0.7500, 0.7500)
Ba (0.2500, 0.2500, 0.2500)
K (0.0000, 0.0000, 0.0000)

DFT total energy: -3.72 eV per formula unit
ΔE_f: 408 meV/atom

---

5.
Entry from the Alexandria database: a relaxed structure of K2Ba (PBE).

Cell lengths 4.4292, 4.8291, 11.8163 Å; angles 78.29, 86.69, 57.03 degrees
Atoms (fractional coordinates):
K (0.3154, 0.3471, 0.8812)
K (0.2536, 0.7004, 0.2249)
Ba (0.2755, 0.0289, 0.5528)

DFT total energy: -3.93 eV per formula unit
ΔE_f: 63 meV/atom

---

6.
Entry from the Alexandria database: a relaxed structure of KBa2 (PBE).

Cell lengths 8.8059, 8.8059, 10.9455 Å; angles 76.56, 76.56, 29.24 degrees
Atoms (fractional coordinates):
Ba (0.9986, 0.9986, 0.9965)
Ba (0.3403, 0.3403, 0.3270)
Ba (0.6042, 0.6042, 0.2842)
Ba (0.9458, 0.9458, 0.6146)
K (0.6721, 0.6721, 0.6608)
K (0.2723, 0.2723, 0.9503)

DFT total energy: -4.68 eV per formula unit
ΔE_f: 87 meV/atom

---

What is the DFT total energy in the fourth record? -3.72 eV per formula unit

---

Repeat the fifth record exactly.
Entry from the Alexandria database: a relaxed structure of K2Ba (PBE).

Cell lengths 4.4292, 4.8291, 11.8163 Å; angles 78.29, 86.69, 57.03 degrees
Atoms (fractional coordinates):
K (0.3154, 0.3471, 0.8812)
K (0.2536, 0.7004, 0.2249)
Ba (0.2755, 0.0289, 0.5528)

DFT total energy: -3.93 eV per formula unit
ΔE_f: 63 meV/atom